1.
Below is a geometry-optimized Pa2Nb3Ge4 structure, with properties calculated at the PBE level.

Calculated formation energy, eV/f.u.: -5.20
Density of states at the Fermi level, states/eV/f.u.: 10.101
Total magnetic moment, Bohr magnetons per cell: 0.00

abc: 7.208 7.210 7.095
angles: 90.00 109.99 90.00
Space group P2_1/c (No. 14)
Symmetry-distinct sites (fractional):
Pa  0.188  0.171  0.058 [4 per cell]
Nb  0.247  0.665  0.247 [4 per cell]
Nb  0.500  0.000  0.500 [2 per cell]
Ge  0.086  0.545  0.855 [4 per cell]
Ge  0.499  0.634  0.633 [4 per cell]

2.
Below is a geometry-optimized PaNbGe structure, with properties calculated at the PBE level.

Calculated formation energy, eV/f.u.: 0.17
Density of states at the Fermi level, states/eV/f.u.: 2.594
Total magnetic moment, Bohr magnetons per cell: 0.00
Offset from the most stable computed form, eV/f.u.: 1.326

abc: 3.4511 3.4511 6.3198
angles: 90.00 90.00 120.00
Space group P3m1 (No. 156)
Symmetry-distinct sites (fractional):
Pa  0.0000  0.0000  0.0000 [1 per cell]
Nb  0.6667  0.3333  0.3858 [1 per cell]
Ge  0.3333  0.6667  0.6504 [1 per cell]

3.
Below is a geometry-optimized PaNb2Ge2 structure, with properties calculated at the PBE level.

Calculated formation energy, eV/f.u.: -0.31
Density of states at the Fermi level, states/eV/f.u.: 5.568
Total magnetic moment, Bohr magnetons per cell: 0.00
Offset from the most stable computed form, eV/f.u.: 1.478

abc: 8.635 10.518 5.436
angles: 90.00 121.00 90.00
Space group C2/c (No. 15)
Symmetry-distinct sites (fractional):
Pa  0.000  0.096  0.250 [4 per cell]
Nb  0.179  0.409  0.983 [8 per cell]
Ge  0.000  0.195  0.750 [4 per cell]
Ge  0.000  0.372  0.250 [4 per cell]

4.
Below is a geometry-optimized NbGePb3 structure, with properties calculated at the PBE level.

Calculated formation energy, eV/f.u.: 6.37
Density of states at the Fermi level, states/eV/f.u.: 9.361
Total magnetic moment, Bohr magnetons per cell: 0.10
Offset from the most stable computed form, eV/f.u.: 2.673

abc: 5.385 5.385 5.385
angles: 90.00 90.00 90.00
Space group Pm-3m (No. 221)
Symmetry-distinct sites (fractional):
Nb  0.000  0.000  0.000 [1 per cell]
Ge  0.500  0.500  0.500 [1 per cell]
Pb  0.000  0.500  0.500 [3 per cell]

5.
Below is a geometry-optimized Nb2GePb2 structure, with properties calculated at the PBE level.

Calculated formation energy, eV/f.u.: 0.93
Density of states at the Fermi level, states/eV/f.u.: 3.958
Total magnetic moment, Bohr magnetons per cell: 0.00

abc: 6.903 6.903 4.624
angles: 90.00 90.00 90.00
Space group P4/mbm (No. 127)
Symmetry-distinct sites (fractional):
Nb  0.141  0.359  0.000 [4 per cell]
Ge  0.000  0.000  0.000 [2 per cell]
Pb  0.168  0.668  0.500 [4 per cell]

6.
Below is a geometry-optimized Nb2Ge2Pb structure, with properties calculated at the PBE level.

Calculated formation energy, eV/f.u.: -0.16
Density of states at the Fermi level, states/eV/f.u.: 2.165
Total magnetic moment, Bohr magnetons per cell: 0.00
Offset from the most stable computed form, eV/f.u.: 0.000

abc: 7.455 7.455 3.485
angles: 90.00 90.00 90.00
Space group P4/mbm (No. 127)
Symmetry-distinct sites (fractional):
Nb  0.143  0.357  0.000 [4 per cell]
Ge  0.145  0.645  0.500 [4 per cell]
Pb  0.000  0.000  0.000 [2 per cell]

7.
Below is a geometry-optimized Nb2Ge2Pb structure, with properties calculated at the PBE level.

Calculated formation energy, eV/f.u.: 0.53
Density of states at the Fermi level, states/eV/f.u.: 5.017
Total magnetic moment, Bohr magnetons per cell: 0.00
Offset from the most stable computed form, eV/f.u.: 0.683

abc: 7.496 7.496 3.454
angles: 90.00 90.00 90.00
Space group P4/mbm (No. 127)
Symmetry-distinct sites (fractional):
Nb  0.153  0.347  0.000 [4 per cell]
Ge  0.131  0.631  0.500 [4 per cell]
Pb  0.000  0.000  0.500 [2 per cell]

8.
Below is a geometry-optimized NbGePb3 structure, with properties calculated at the PBE level.

Calculated formation energy, eV/f.u.: 3.70
Density of states at the Fermi level, states/eV/f.u.: 5.651
Total magnetic moment, Bohr magnetons per cell: 0.00
Offset from the most stable computed form, eV/f.u.: 0.000

abc: 5.516 5.516 5.516
angles: 90.00 90.00 90.00
Space group Pm-3m (No. 221)
Symmetry-distinct sites (fractional):
Nb  0.000  0.000  0.000 [1 per cell]
Ge  0.500  0.500  0.500 [1 per cell]
Pb  0.000  0.000  0.500 [3 per cell]

total magnetic moment of number 2 (PaNbGe)? 0.00 Bohr magnetons per cell

Repeat the sixth record exactly.
Below is a geometry-optimized Nb2Ge2Pb structure, with properties calculated at the PBE level.

Calculated formation energy, eV/f.u.: -0.16
Density of states at the Fermi level, states/eV/f.u.: 2.165
Total magnetic moment, Bohr magnetons per cell: 0.00
Offset from the most stable computed form, eV/f.u.: 0.000

abc: 7.455 7.455 3.485
angles: 90.00 90.00 90.00
Space group P4/mbm (No. 127)
Symmetry-distinct sites (fractional):
Nb  0.143  0.357  0.000 [4 per cell]
Ge  0.145  0.645  0.500 [4 per cell]
Pb  0.000  0.000  0.000 [2 per cell]

calculated formation energy of number 3 (PaNb2Ge2)? -0.31 eV/f.u.